Entry from Alexandria via LeMat-Bulk: a relaxed Ag6Te4W3O20 crystal (GGA+U).

Calculated values
The volume comes out at 2011.9 Å³ per cell. Its density of states at the Fermi level is 0.00 states/eV/f.u. As for the total energy: -747.42 eV for the cell shown. The crystal system is monoclinic. The value obtained for the density is 6.70 Mg/m³.

abc: 30.2655 6.8650 9.6859
angles: 90.00 91.35 90.00
Space group C2/c (No. 15)
Inequivalent atoms, fractional coordinates:
1 Ag 0.0283 0.1038 0.4081 (multiplicity 8)
2 Ag 0.1059 0.1426 0.6995 (multiplicity 8)
3 Ag 0.1921 0.1910 0.9732 (multiplicity 8)
4 Te 0.0797 0.3534 0.0357 (multiplicity 8)
5 Te 0.2275 0.3602 0.6431 (multiplicity 8)
6 W 0.0000 0.4403 0.7500 (multiplicity 4)
7 W 0.1667 0.3106 0.3457 (multiplicity 8)
8 O 0.0291 0.3062 0.1499 (multiplicity 8)
9 O 0.0344 0.2763 0.6538 (multiplicity 8)
10 O 0.0462 0.4929 0.8920 (multiplicity 8)
11 O 0.0817 0.1095 0.9499 (multiplicity 8)
12 O 0.1244 0.1903 0.2403 (multiplicity 8)
13 O 0.1485 0.4346 0.8439 (multiplicity 8)
14 O 0.1543 0.2448 0.5250 (multiplicity 8)
15 O 0.2068 0.3737 0.1730 (multiplicity 8)
16 O 0.2105 0.0632 0.3342 (multiplicity 8)
17 O 0.2299 0.4134 0.4462 (multiplicity 8)